Ba2Cd2RuO6 | the Alexandria database | GGA-PBE | relaxed; SG = R-3m, No. 166; crystal system = trigonal; E_tot = -5.46 eV per atom; D(E_F) = 0.29 states/eV per atom; formation energy (no corrections) = -1.39 eV/atom
1.0
3.168 1.829 5.527
-3.168 1.829 5.527
0.000 -3.658 5.527
Ba Cd Ru O
2 2 1 6
direct
0.205 0.205 0.205
0.795 0.795 0.795
0.402 0.402 0.402
0.598 0.598 0.598
0.000 0.000 0.000
0.205 0.779 0.779
0.221 0.221 0.795
0.221 0.795 0.221
0.779 0.205 0.779
0.779 0.779 0.205
0.795 0.221 0.221